[1]
4
Lattice="0.0000 3.9437 3.9437 3.9437 0.0000 3.9437 3.9437 3.9437 0.0000" Properties=species:S:1:pos:R:3 comment="AcLaPmGe PBE relaxed" formation_energy_ev_per_atom=-0.06 crystal_system=cubic spacegroup="F-43m (216)" n_ef_per_ev_fu=5.9 pbc="T T T"
Ac 0.0000 0.0000 0.0000
La 5.9155 5.9155 5.9155
Pm 1.9718 1.9718 1.9718
Ge 3.9437 3.9437 3.9437

***

[2]
4
Lattice="0.0000 3.9655 3.9655 3.9655 0.0000 3.9655 3.9655 3.9655 0.0000" Properties=species:S:1:pos:R:3 comment="AcLaPrGe PBE relaxed" formation_energy_ev_per_atom=-0.07 crystal_system=cubic spacegroup="F-43m (216)" n_ef_per_ev_fu=5.9 pbc="T T T"
Ac 0.0000 0.0000 0.0000
La 1.9827 1.9827 1.9827
Pr 5.9482 5.9482 5.9482
Ge 3.9655 3.9655 3.9655

***

[3]
10
Lattice="4.4723 0.0000 0.0000 0.0000 4.4723 0.0000 0.0000 0.0000 11.6269" Properties=species:S:1:pos:R:3 comment="Ac2LaGe4Pt3 PBE relaxed" formation_energy_ev_per_atom=-0.88 crystal_system=tetragonal spacegroup="P-4m2 (115)" n_ef_per_ev_fu=4.4 pbc="T T T"
Ac 0.0000 2.2361 2.6080
Ac 2.2361 0.0000 9.0188
La 0.0000 0.0000 5.8134
Ge 0.0000 0.0000 0.0000
Ge 0.0000 2.2361 7.8167
Ge 2.2361 0.0000 3.8101
Ge 2.2361 2.2361 0.0000
Pt 0.0000 2.2361 10.3463
Pt 2.2361 0.0000 1.2806
Pt 2.2361 2.2361 5.8134

***

The following E values (in eV per atom) correspond, in order, to the records above: -4.6636; -4.6772; -5.8521.
The following calculated volume values (in Å³/atom) correspond, in order, to the records above: 30.67; 31.18; 23.26.